Record 1
This record from the Alexandria database describes NdZnGa after structural relaxation. The functional is GGA-PBE.

Lattice parameters (Å, degrees): 5.748 5.748 8.944 90.00 90.00 90.00
Space group I4_1md (No. 109)
Symmetry-distinct sites (fractional):
Nd: 0.000 0.000 0.000 (multiplicity 4)
Zn: 0.000 0.000 0.639 (multiplicity 4)
Ga: 0.000 0.000 0.359 (multiplicity 4)

Values from the calculation:
Its formation energy is -0.030 eV per atom. As for the calculated total energy: -3.053 eV/atom. For the density, the calculation gives 6.28 g/cm3.

***

Record 2
This record from the Alexandria database describes NaGeN2 after structural relaxation. The functional is GGA-PBE.

Lattice parameters (Å, degrees): 3.6721 3.6721 18.6394 90.00 90.00 120.00
Space group R-3m (No. 166, hexagonal axes)
Symmetry-distinct sites (fractional):
Na: 0.0000 0.0000 0.0000 (multiplicity 3)
Ge: 0.0000 0.0000 0.5000 (multiplicity 3)
N: 0.0000 0.0000 0.4088 (multiplicity 6)

Values from the calculation:
As for the calculated total energy: -4.788 eV/atom. For the density, the calculation gives 2.83 g/cm3. For the raw formation energy, the calculation gives 3.435 eV/f.u.